Record 1
14
Lattice="7.220 0.016 0.000 -2.342 6.830 0.000 -2.439 -3.423 5.871" Properties=species:S:1:pos:R:3 comment="SCAN Sm5AgS8, PBEsol geometry" sg=I-4 rho_g_cm3=6.4 raw_formation_energy_ev_per_atom=-2.1032 magmom_total_mub_per_atom=0.000 pbc="T T T"
Sm 2.439 3.423 0.000
S -2.212 0.919 4.457
S 4.030 1.632 1.414
S 5.069 4.593 0.633
Sm 2.429 2.210 3.643
S -0.923 -2.387 4.409
Sm -1.143 -0.405 2.228
Sm 3.543 -1.306 5.176
S 0.248 2.868 5.238
Ag -1.171 3.415 2.936
S 1.598 4.679 2.335
S 0.484 1.771 1.463
S 1.462 -0.385 3.536
Sm 0.048 6.346 0.695

***

Record 2
20
Lattice="-2.932 -3.541 -4.314 5.595 -2.583 1.332 -5.938 -2.816 9.446" Properties=species:S:1:pos:R:3 comment="SCAN Sc2S3, PBEsol geometry" sg=Fddd rho_g_cm3=3.0 raw_formation_energy_ev_per_atom=-2.1904 magmom_total_mub_per_atom=0.000 pbc="T T T"
S -6.028 -5.125 5.252
Sc -0.770 -0.983 1.330
S -3.758 -2.329 6.022
S -1.685 -4.717 8.068
Sc -1.485 -1.794 -2.124
S -3.924 -7.446 7.191
Sc 1.265 -3.247 3.313
Sc -2.505 -7.956 5.133
Sc -6.053 -7.624 5.765
S 0.649 -1.493 -0.727
Sc -0.953 -5.976 2.454
Sc -2.322 -2.963 4.010
S -0.881 -3.472 1.971
Sc -0.276 -5.213 5.973
S -1.556 -4.299 -1.642
S -0.155 -2.737 5.370
S 2.720 -3.738 1.249
S 0.438 -6.615 0.412
S -2.348 -5.462 4.523
S 1.144 -5.723 3.916

***

Record 3
4
Lattice="-3.566 -2.273 1.334 -2.123 -2.662 -2.840 1.400 -5.913 1.036" Properties=species:S:1:pos:R:3 comment="SCAN SrZn2Cd, PBEsol geometry" sg=R3m rho_g_cm3=5.8 ef_ev_per_fu=-1.0 magmom_total_mub_per_atom=0.000 pbc="T T T"
Cd -1.742 -5.946 -0.047
Zn -3.025 -8.385 -0.263
Sr -1.161 -2.597 -0.159
Zn 0.835 -5.182 0.772

***

Record 4
4
Lattice="-2.714 -0.826 -0.551 1.211 -1.178 -4.200 1.952 -3.368 3.016" Properties=species:S:1:pos:R:3 comment="SCAN ZnCuAu2, PBEsol geometry" sg=Cm rho_g_cm3=14.8 ef_ev_per_fu=-0.7 magmom_total_mub_per_atom=0.000 pbc="T T T"
Au 0.071 -0.158 -0.115
Zn -0.770 -2.684 0.242
Cu 1.219 -4.294 0.438
Au 1.130 -2.606 -1.659